Compound: Y2Ge3Ir
Source: Alexandria
Functional: PBE
Structure: relaxed

```
6
Lattice="-1.7465 -1.7648 -3.6053 2.8926 -4.5001 -1.8561 -3.3467 -4.5777 1.2044" Properties=species:S:1:pos:R:3 pbc="T T T"
Y -2.7944 -5.0830 -1.4734
Y 0.5294 -5.8779 -2.6945
Ge -1.9843 -7.2576 -3.4590
Ge -1.0787 -3.1366 -3.2573
Ge -1.1591 -7.8729 -0.8999
Ir -0.1146 -3.2999 -0.9868
```

Properties
Volume (Å³/cell): 121.53
Calculated density (g/cm3): 8.0
Total moment (μB/cell): 0.0
Final energy (eV per atom): -6.6959

=====

Compound: LiZrZn
Source: Alexandria
Functional: PBE
Structure: relaxed

```
3
Lattice="-0.0665 -4.4062 0.1681 2.9225 -2.1554 2.5021 -1.3275 -2.0467 3.6737" Properties=species:S:1:pos:R:3 pbc="T T T"
Li 0.7643 -4.3042 3.1719
Zn 1.1464 -6.4562 4.7579
Zr 0.0000 0.0000 0.0000
```

Properties
Volume (Å³/cell): 60.64
Calculated density (g/cm3): 4.5
Total moment (μB/cell): 0.0
Final energy (eV per atom): -3.6120

=====

Compound: Ca2LaP
Source: Alexandria
Functional: PBE
Structure: relaxed

```
4
Lattice="-6.5096 7.7796 2.0185 -7.4363 6.9491 -1.8393 -9.0978 4.7816 1.1561" Properties=species:S:1:pos:R:3 pbc="T T T"
Ca -0.7667 0.6492 0.0444
Ca -10.7551 9.1060 0.6232
La -5.7609 4.8776 0.3338
P -17.2827 14.6327 1.0014
```

Properties
Volume (Å³/cell): 143.35
Calculated density (g/cm3): 2.9
Total moment (μB/cell): 0.0
Final energy (eV per atom): -4.0640

=====

Compound: BeCoP2
Source: Alexandria
Functional: PBE
Structure: relaxed

```
4
Lattice="4.0859 0.0000 0.0000 0.0000 3.9590 -0.0313 0.0000 2.4464 3.1156" Properties=species:S:1:pos:R:3 pbc="T T T"
P 0.0000 5.4818 2.6405
P 2.0430 2.5130 1.2092
Co 2.0430 4.5183 2.1757
Be 0.0000 3.5004 1.6855
```

Properties
Volume (Å³/cell): 50.71
Calculated density (g/cm3): 4.3
Total moment (μB/cell): 0.0
Final energy (eV per atom): -5.6410

=====

Compound: InGa2F
Source: Alexandria
Functional: PBE
Structure: relaxed

```
8
Lattice="-1.1879 3.8608 2.7716 -1.7497 -3.0114 3.4450 5.3624 0.1857 6.3689" Properties=species:S:1:pos:R:3 pbc="T T T"
F -1.4688 0.4247 3.1083
F 1.0719 -1.2005 6.4611
Ga 0.5346 1.5788 3.3931
Ga -0.0566 -0.8489 4.4537
Ga 2.6917 0.0645 7.5578
Ga 1.6799 1.2757 9.7663
In 0.0000 0.0000 0.0000
In 1.3529 2.2356 6.1244
```

Properties
Volume (Å³/cell): 181.74
Calculated density (g/cm3): 5.0
E_form (uncorrected) (meV/atom): -559.6
Total moment (μB/cell): 0.0
Final energy (eV per atom): -3.2255

=====

Compound: CeNiSn2
Source: Alexandria
Functional: PBE
Structure: relaxed

```
4
Lattice="-3.8687 1.6141 1.5991 -2.2670 -3.0139 -2.4425 3.2255 -2.5446 4.0781" Properties=species:S:1:pos:R:3 pbc="T T T"
Ce -2.7687 -0.7328 0.3352
Ni -1.5769 -0.8764 3.3635
Sn -2.6639 -3.0372 2.9147
Sn 0.3884 -0.9285 1.8768
```

Properties
Volume (Å³/cell): 98.57
Calculated density (g/cm3): 7.3
Total moment (μB/cell): 1.3
Final energy (eV per atom): -5.3362

=====

Compound: PrYInAg
Source: Alexandria
Functional: PBE
Structure: relaxed

```
4
Lattice="5.3656 0.0000 0.0000 2.6828 4.6468 0.0000 2.6828 1.5489 4.3810" Properties=species:S:1:pos:R:3 pbc="T T T"
Pr 2.6828 1.5489 1.0953
Y 8.0484 4.6468 3.2858
Ag 5.3656 3.0978 2.1905
In 0.0000 0.0000 0.0000
```

Properties
Volume (Å³/cell): 109.23
Calculated density (g/cm3): 6.9
Total moment (μB/cell): 0.2
Final energy (eV per atom): -4.5967

=====

Compound: NaSiI2O
Source: Alexandria
Functional: PBE
Structure: relaxed

```
5
Lattice="-2.5560 -5.2271 -0.1921 3.9030 -1.7636 -3.9432 2.1585 -1.1530 2.6522" Properties=species:S:1:pos:R:3 pbc="T T T"
I 1.9515 -0.8818 -1.9716
I -1.2780 -2.6135 -0.0960
Na 1.7527 -4.0718 -0.7416
Si 0.0000 0.0000 0.0000
O 1.0793 -0.5765 1.3261
```

Properties
Volume (Å³/cell): 122.31
Calculated density (g/cm3): 4.4
E_form (uncorrected) (meV/atom): -800.9
Total moment (μB/cell): 0.0
Final energy (eV per atom): -3.7610

=====

Compound: Na3AlIr
Source: Alexandria
Functional: PBE
Structure: relaxed

```
5
Lattice="5.3898 0.0000 0.0000 0.0000 5.3898 0.0000 0.0000 0.0000 5.3898" Properties=species:S:1:pos:R:3 pbc="T T T"
Na 0.0000 2.6949 0.0000
Na 0.0000 0.0000 2.6949
Na 2.6949 0.0000 0.0000
Ir 2.6949 2.6949 2.6949
Al 0.0000 0.0000 0.0000
```

Properties
Volume (Å³/cell): 156.57
Calculated density (g/cm3): 3.1
Total moment (μB/cell): 1.3
Final energy (eV per atom): -1.9717

=====

Compound: MnRe2P
Source: Alexandria
Functional: PBE
Structure: relaxed

```
4
Lattice="-0.3240 1.1929 2.4535 -2.3834 -0.7489 -1.1430 0.5388 -7.0684 3.5078" Properties=species:S:1:pos:R:3 pbc="T T T"
Mn 0.2556 -3.3537 1.6643
Re 0.0131 -0.1720 0.0854
Re -0.9549 -5.0093 3.2513
P -1.2130 -1.6236 1.5712
```

Properties
Volume (Å³/cell): 55.03
Calculated density (g/cm3): 13.8
Total moment (μB/cell): 2.2
Final energy (eV per atom): -9.6152

=====

Compound: GdPu2Ni
Source: Alexandria
Functional: PBE
Structure: relaxed

```
4
Lattice="3.4939 0.0000 0.0000 0.0000 3.4939 0.0000 0.0000 0.0000 7.9789" Properties=species:S:1:pos:R:3 pbc="T T T"
Ni 1.7470 1.7470 0.0000
Gd 1.7470 1.7470 3.9894
Pu 0.0000 0.0000 6.4533
Pu 0.0000 0.0000 1.5256
```

Properties
Volume (Å³/cell): 97.40
Calculated density (g/cm3): 12.0
Total moment (μB/cell): 19.0
Final energy (eV per atom): -12.0477

=====

Compound: PuTiPt2
Source: Alexandria
Functional: PBE
Structure: relaxed

```
4
Lattice="-0.8996 -0.2703 -2.6898 4.8340 -0.4248 -1.5740 -0.2517 -5.0607 0.5928" Properties=species:S:1:pos:R:3 pbc="T T T"
Ti 1.8413 -2.8779 -1.8355
Pt -0.1259 -2.5303 0.2964
Pt 2.4170 -0.2124 -0.7870
Pu -0.4498 -0.1352 -1.3449
```

Properties
Volume (Å³/cell): 74.15
Calculated density (g/cm3): 15.3
Total moment (μB/cell): 5.1
Final energy (eV per atom): -9.2448